[1]
First-principles (GGA-PBE) data for a relaxed BeIn2Pb crystal, as listed in Alexandria.

The structure in POSCAR format:
```
BeIn2Pb
1.0
-3.2916 -0.3175 0.1369
0.7402 -3.2249 0.0792
0.3383 0.2943 8.8183
Pb Be In
1 1 2
direct
0.0000 0.0000 0.5611
0.5000 0.5000 0.7646
0.0000 0.0000 0.9413
0.5000 0.5000 0.2330
```

Summary:
Energy ... -2.898 eV/atom
Distance to the lowest polymorph of the same formula ... 0.014 eV per atom
Crystal system ... orthorhombic
Space-group type ... No. 35



[2]
First-principles (GGA-PBE) data for a relaxed BeInPb crystal, as listed in Alexandria.

The structure in POSCAR format:
```
BeInPb
1.0
-2.7348 -0.8325 -6.2942
0.4889 -1.2813 -6.6478
-0.9827 -3.1194 -0.1482
Pb Be In
1 1 1
direct
0.3593 0.3593 0.6407
0.0078 0.0078 0.9922
0.6329 0.6329 0.3671
```

Summary:
Energy ... -2.932 eV/atom
Distance to the lowest polymorph of the same formula ... 0.075 eV per atom
Crystal system ... orthorhombic
Space-group type ... No. 42



[3]
First-principles (GGA-PBE) data for a relaxed BeIn2Pb crystal, as listed in Alexandria.

The structure in POSCAR format:
```
BeIn2Pb
1.0
5.4363 -0.1766 0.0000
1.4149 5.2519 0.0000
-3.4256 -2.5377 3.3779
Pb Be In
1 1 2
direct
0.5000 0.5000 0.0000
0.7500 0.2500 0.5000
0.0000 0.0000 0.0000
0.2500 0.7500 0.5000
```

Summary:
Energy ... -2.749 eV/atom
Distance to the lowest polymorph of the same formula ... 0.163 eV per atom
Crystal system ... tetragonal
Space-group type ... No. 119



[4]
First-principles (GGA-PBE) data for a relaxed BeIn4Pb crystal, as listed in Alexandria.

The structure in POSCAR format:
```
BeIn4Pb
1.0
0.0000 4.3493 4.3493
4.3493 0.0000 4.3493
4.3493 4.3493 0.0000
Be In Pb
1 4 1
direct
0.0000 0.0000 0.0000
0.8758 0.3747 0.3747
0.3747 0.3747 0.8758
0.3747 0.8758 0.3747
0.3747 0.3747 0.3747
0.7500 0.7500 0.7500
```

Summary:
Energy ... -2.556 eV/atom
Crystal system ... cubic
Space-group type ... No. 216



[5]
First-principles (GGA-PBE) data for a relaxed BeIn2Pb crystal, as listed in Alexandria.

The structure in POSCAR format:
```
BeIn2Pb
1.0
5.1083 0.0000 0.0000
0.0000 4.3663 0.0000
0.0000 0.0000 4.3663
Pb Be In
1 1 2
direct
0.5000 0.5000 0.0000
0.5000 0.0000 0.5000
0.0000 0.0000 0.0000
0.0000 0.5000 0.5000
```

Summary:
Energy ... -2.755 eV/atom
Distance to the lowest polymorph of the same formula ... 0.156 eV per atom
Crystal system ... tetragonal
Space-group type ... No. 123



[6]
First-principles (GGA-PBE) data for a relaxed BeInPb2 crystal, as listed in Alexandria.

The structure in POSCAR format:
```
BeInPb2
1.0
-0.4317 -2.8080 -1.9139
2.1844 -1.7066 2.0111
-6.5642 -2.4395 5.0597
Pb Be In
2 1 1
direct
0.0000 0.0000 0.0525
0.0000 0.0000 0.4475
0.5000 0.5000 0.2500
0.5000 0.5000 0.7500
```

Summary:
Energy ... -3.100 eV/atom
Distance to the lowest polymorph of the same formula ... 0.031 eV per atom
Crystal system ... tetragonal
Space-group type ... No. 123



energy of number 2 (BeInPb)?
-2.932 eV/atom